[1]
Compound: La2HfAsPd
Source: Alexandria
Functional: SCAN
Structure: single point on PBEsol structure

```
5
Lattice="4.851 0.000 0.000 0.000 5.604 0.000 0.000 0.000 5.604" Properties=species:S:1:pos:R:3 pbc="T T T"
Pd 2.425 2.802 2.802
La 0.000 0.000 2.802
As 2.425 0.000 0.000
Hf 0.000 0.000 0.000
La 0.000 2.802 0.000
```

Summary:
Electronic total energy (eV per formula unit): -200.58
Spin magnetization (μB per formula unit): 0.000
ΔE_f (meV per atom): 253



[2]
Compound: HoAsO4
Source: Alexandria
Functional: SCAN
Structure: single point on PBEsol structure

```
12
Lattice="-1.384 -1.902 5.386 5.632 -0.656 -1.544 -1.093 5.774 -0.068" Properties=species:S:1:pos:R:3 pbc="T T T"
As -0.176 1.297 3.619
O -1.391 2.463 3.905
O 2.431 -1.028 3.582
O 2.194 0.116 0.938
O -0.560 4.016 1.460
As 2.124 -1.279 1.921
O -0.484 1.046 1.958
Ho 3.332 1.920 0.154
Ho 0.000 0.000 0.000
O 1.415 1.775 4.012
O -0.247 -0.098 4.602
O 2.245 3.328 1.567
```

Summary:
Electronic total energy (eV per formula unit): -109.94
Energy relative to the elements, uncorrected (kcal/mol of atoms): -60.885
Spin magnetization (μB per formula unit): 0.000



electronic total energy of number 1 (La2HfAsPd)? -200.58 eV per formula unit



What is the spin magnetization in the second record? 0.000 μB per formula unit



Copy entry 2 word for word.
Compound: HoAsO4
Source: Alexandria
Functional: SCAN
Structure: single point on PBEsol structure

```
12
Lattice="-1.384 -1.902 5.386 5.632 -0.656 -1.544 -1.093 5.774 -0.068" Properties=species:S:1:pos:R:3 pbc="T T T"
As -0.176 1.297 3.619
O -1.391 2.463 3.905
O 2.431 -1.028 3.582
O 2.194 0.116 0.938
O -0.560 4.016 1.460
As 2.124 -1.279 1.921
O -0.484 1.046 1.958
Ho 3.332 1.920 0.154
Ho 0.000 0.000 0.000
O 1.415 1.775 4.012
O -0.247 -0.098 4.602
O 2.245 3.328 1.567
```

Summary:
Electronic total energy (eV per formula unit): -109.94
Energy relative to the elements, uncorrected (kcal/mol of atoms): -60.885
Spin magnetization (μB per formula unit): 0.000